BaMnSnF6: optimized geometry, PBE+U.

Values from the calculation:
The value obtained for the density is 4.81 Mg/m³. The calculation puts the total energy at -5.66 eV per atom. For the magnetization, the calculation gives 5.0 μB per cell.

```
data_BaMnSnF6
_space_group_name_H-M_alt 'P 3'
_space_group_IT_number 143
_space_group_name_Hall 'P 3'
_cell_length_a 6.1379
_cell_length_b 6.1379
_cell_length_c 4.4940
_cell_angle_alpha 90.00
_cell_angle_beta 90.00
_cell_angle_gamma 120.00
loop_
_atom_site_label
_atom_site_fract_x
_atom_site_fract_y
_atom_site_fract_z
Ba1 0.0000 0.0000 0.0000
Mn1 0.6667 0.3333 0.3529
Sn1 0.3333 0.6667 0.4374
F1 0.0202 0.5762 0.1030
F2 0.3126 0.0718 0.5353
```